Entry 1:
Entry from Alexandria: a relaxed Sr2PRu crystal (PBE).

Output
Raw total energy, eV per cell: -34.4
Calculated density, g/cm3: 5.23
Total moment, μB/f.u.: 1.53

Cell: 4.421 4.421 9.991 Å, 90.00 90.00 90.00°
Space group I-4m2 (No. 119)
Inequivalent atoms, fractional coordinates:
Sr 0.000 0.000 0.000 x2
Sr 0.000 0.500 0.250 x2
P 0.000 0.500 0.750 x2
Ru 0.000 0.000 0.500 x2



Entry 2:
Entry from Alexandria: a relaxed SrPRu4 crystal (PBE).

Output
Raw total energy, eV per cell: -162.0
Calculated density, g/cm3: 8.30
Total moment, μB/f.u.: 2.35

Cell: 7.478 7.478 7.478 Å, 90.00 90.00 90.00°
Space group F-43m (No. 216)
Inequivalent atoms, fractional coordinates:
Sr 0.000 0.000 0.000 x4
P 0.250 0.250 0.750 x4
Ru 0.123 0.123 0.377 x16



Entry 3:
Entry from Alexandria: a relaxed Sr2PRu crystal (PBE).

Output
Raw total energy, eV per cell: -18.7
Calculated density, g/cm3: 5.01
Total moment, μB/f.u.: 0.13

Cell: 3.364 3.364 8.998 Å, 90.00 90.00 90.00°
Space group P4mm (No. 99)
Inequivalent atoms, fractional coordinates:
Sr 0.000 0.000 0.000 x1
Sr 0.500 0.500 0.411 x1
P 0.000 0.000 0.648 x1
Ru 0.500 0.500 0.746 x1



Entry 4:
Entry from Alexandria: a relaxed SrP4Ru crystal (PBE).

Output
Raw total energy, eV per cell: -120.9
Calculated density, g/cm3: 4.85
Total moment, μB/f.u.: 1.74

Cell: 7.536 7.536 7.536 Å, 90.00 90.00 90.00°
Space group F-43m (No. 216)
Inequivalent atoms, fractional coordinates:
Sr 0.000 0.000 0.000 x4
P 0.113 0.113 0.613 x16
Ru 0.250 0.250 0.250 x4



Entry 5:
Entry from Alexandria: a relaxed Sr2PRu crystal (PBE).

Output
Raw total energy, eV per cell: -68.9
Calculated density, g/cm3: 5.89
Total moment, μB/f.u.: 0.54

Cell: 7.023 7.023 7.023 Å, 90.00 90.00 90.00°
Space group F-43m (No. 216)
Inequivalent atoms, fractional coordinates:
Sr 0.000 0.000 0.000 x4
Sr 0.250 0.250 0.250 x4
P 0.000 0.000 0.500 x4
Ru 0.250 0.250 0.750 x4



Entry 6:
Entry from Alexandria: a relaxed SrP3Ru4 crystal (PBE).

Output
Raw total energy, eV per cell: -60.4
Calculated density, g/cm3: 7.21
Total moment, μB/f.u.: 0.00

Cell: 4.019 4.019 8.335 Å, 90.00 90.00 90.00°
Space group P4/mmm (No. 123)
Inequivalent atoms, fractional coordinates:
Sr 0.000 0.000 0.000 x1
P 0.000 0.000 0.500 x1
P 0.500 0.500 0.199 x2
Ru 0.000 0.500 0.333 x4



Entry 7:
Entry from Alexandria: a relaxed SrTiP2Ru crystal (PBE).

Output
Raw total energy, eV per cell: -69.0
Calculated density, g/cm3: 5.14
Total moment, μB/f.u.: 0.00

Cell: 3.915 3.915 12.571 Å, 90.00 90.00 90.00°
Space group I-4m2 (No. 119)
Inequivalent atoms, fractional coordinates:
Sr 0.000 0.000 0.000 x2
Ti 0.000 0.500 0.750 x2
P 0.000 0.000 0.366 x4
Ru 0.000 0.500 0.250 x2



Entry 8:
Entry from Alexandria: a relaxed SrVP2Ru crystal (PBE).

Output
Raw total energy, eV per cell: -70.0
Calculated density, g/cm3: 5.36
Total moment, μB/f.u.: 0.36

Cell: 3.904 3.904 12.252 Å, 90.00 90.00 90.00°
Space group I-4m2 (No. 119)
Inequivalent atoms, fractional coordinates:
Sr 0.000 0.000 0.000 x2
V 0.000 0.500 0.250 x2
P 0.000 0.000 0.361 x4
Ru 0.000 0.500 0.750 x2



Record order is preserved below.
Energy of formation from the pure elements: 0.21 0.62 -0.15 0.40 0.20 -0.67 -0.96 -0.82 eV per atom